[1]
Compound: YAlIn2S6
Source: Alexandria
Functional: PBE
Structure: relaxed

Values from the calculation:
Mass density ... 3.50 g/cm³

```
data_YAlIn2S6
_chemical_formula_sum 'Y4 Al4 In8 S24'
_symmetry_space_group_name_H-M 'C 1 2/c 1'
_symmetry_Int_Tables_number 15
_cell_length_a 12.077
_cell_length_b 13.308
_cell_length_c 6.837
_cell_angle_alpha 90.00
_cell_angle_beta 111.73
_cell_angle_gamma 90.00
loop_
_symmetry_equiv_pos_as_xyz
'x,y,z'
'-x,-y,-z'
'-x,y,-z+1/2'
'x,-y,z+1/2'
'x+1/2,y+1/2,z'
'-x+1/2,-y+1/2,-z'
'-x+1/2,y+1/2,-z+1/2'
'x+1/2,-y+1/2,z+1/2'
loop_
_atom_site_label
_atom_site_fract_x
_atom_site_fract_y
_atom_site_fract_z
Y1 0.000 0.096 0.250
Al1 0.000 0.170 0.750
In1 0.119 0.412 0.152
S1 0.118 0.228 0.072
S2 0.121 0.414 0.521
S3 0.128 0.065 0.672
```

[2]
Compound: ZrAlInS2
Source: Alexandria
Functional: PBE
Structure: relaxed

Values from the calculation:
Mass density ... 3.47 g/cm³

```
data_ZrAlInS2
_chemical_formula_sum 'Zr1 Al1 In1 S2'
_symmetry_space_group_name_H-M 'P 4/m m m'
_symmetry_Int_Tables_number 123
_symmetry_space_group_name_Hall '-P 4 2'
_cell_length_a 4.953
_cell_length_b 4.953
_cell_length_c 5.791
_cell_angle_alpha 90.00
_cell_angle_beta 90.00
_cell_angle_gamma 90.00
loop_
_atom_site_label
_atom_site_fract_x
_atom_site_fract_y
_atom_site_fract_z
Zr1 0.000 0.000 0.000
Al1 0.500 0.500 0.500
In1 0.000 0.000 0.500
S1 0.000 0.500 0.000
```

Final energy values (in eV/atom) by entry order: -5.0483 -4.8245.